# 1
A geometry-optimized LiCa2Br structure. Source: Alexandria via LeMat-Bulk, functional PBE-GGA.

The final energy comes out at -19.09 eV for the cell shown. For the uncorrected formation energy, the calculation gives -0.489 eV per atom.

The space group is Cmmm (No. 65) and the conventional cell measures 7.1474, 9.2042 and 3.6911 Å, with angles of 90.00, 90.00 and 90.00 degrees. The distinct sites, in fractional coordinates, are Li at (0.0000, 0.0000, 0.0000), Ca at (0.2500, 0.2500, 0.5000) and Br at (0.0000, 0.5000, 0.0000).

# 2
A geometry-optimized Li2La3In9 structure. Source: Alexandria via LeMat-Bulk, functional PBE-GGA.

The final energy comes out at -98.52 eV for the cell shown. The formation energy comes out at -0.4287 eV per atom.

The space group is Immm (No. 71) and the conventional cell measures 4.7499, 10.9993 and 13.9012 Å, with angles of 90.00, 90.00 and 90.00 degrees. The distinct sites, in fractional coordinates, are Li at (0.0000, 0.1950, 0.0000), La at (0.0000, 0.0000, 0.1930), La at (0.0000, 0.0000, 0.5000), In at (0.0000, 0.2837, 0.3613), In at (0.0000, 0.3675, 0.1509) and In at (0.0000, 0.5000, 0.5000).

# 3
A geometry-optimized GaIr2C structure. Source: Alexandria via LeMat-Bulk, functional PBE-GGA.

The final energy comes out at -117.40 eV for the cell shown. The formation energy comes out at 0.1557 eV per atom.

The space group is Cm (No. 8) and the conventional cell measures 5.5900, 7.2798 and 5.8451 Å, with angles of 90.00, 112.67 and 90.00 degrees. The distinct sites, in fractional coordinates, are Ga at (0.0000, 0.0000, 0.0000), Ga at (0.1705, 0.0000, 0.5884), Ir at (0.0870, 0.2940, 0.7594), Ir at (0.2919, 0.2843, 0.2566) and C at (0.0707, 0.4003, 0.4229).

# 4
A geometry-optimized AsPt2Rh structure. Source: Alexandria via LeMat-Bulk, functional PBE-GGA.

The final energy comes out at -49.00 eV for the cell shown. The formation energy comes out at -0.1050 eV per atom.

The space group is Cm (No. 8) and the conventional cell measures 8.5088, 3.7146 and 4.7870 Å, with angles of 90.00, 121.66 and 90.00 degrees. The distinct sites, in fractional coordinates, are As at (0.0000, 0.0000, 0.0000), Pt at (0.2894, 0.0000, 0.6395), Pt at (0.4974, 0.0000, 0.3577) and Rh at (0.1984, 0.5000, 0.0348).